(1)
## AlZnCoH6 (PBE-GGA)

Data for crystalline AlZnCoH6 at its relaxed geometry.

Geometry as CIF:
```
data_AlZnCoH6
_cell_length_a 4.8056
_cell_length_b 4.8056
_cell_length_c 4.8056
_cell_angle_alpha 60.00
_cell_angle_beta 60.00
_cell_angle_gamma 60.00
_space_group_name_H-M_alt 'P 1'
_space_group_IT_number 1
loop_
_space_group_symop_operation_xyz
'x,y,z'
loop_
_atom_site_label
_atom_site_type_symbol
_atom_site_fract_x
_atom_site_fract_y
_atom_site_fract_z
_atom_site_occupancy
Al1 Al 0.0000 0.0000 0.0000 1
Zn1 Zn 0.5000 0.5000 0.5000 1
Co1 Co 0.2500 0.2500 0.2500 1
H1 H 0.2486 0.2486 0.7514 1
H2 H 0.2486 0.7514 0.2486 1
H3 H 0.2486 0.7514 0.7514 1
H4 H 0.7514 0.2486 0.2486 1
H5 H 0.7514 0.2486 0.7514 1
H6 H 0.7514 0.7514 0.2486 1
```

* symmetry: F-43m
* electronic total energy: -3.14 eV per atom
* M_tot: 0.23 μB/atom

(2)
## HfAlCo (PBE-GGA)

Data for crystalline HfAlCo at its relaxed geometry.

Geometry as CIF:
```
data_HfAlCo
_cell_length_a 4.3338
_cell_length_b 4.3338
_cell_length_c 4.3338
_cell_angle_alpha 60.00
_cell_angle_beta 60.00
_cell_angle_gamma 60.00
_space_group_name_H-M_alt 'P 1'
_space_group_IT_number 1
loop_
_space_group_symop_operation_xyz
'x,y,z'
loop_
_atom_site_label
_atom_site_type_symbol
_atom_site_fract_x
_atom_site_fract_y
_atom_site_fract_z
_atom_site_occupancy
Hf1 Hf 0.0000 0.0000 0.0000 1
Al1 Al 0.7500 0.7500 0.7500 1
Co1 Co 0.2500 0.2500 0.2500 1
```

* symmetry: F-43m
* electronic total energy: -6.40 eV per atom
* M_tot: 0.07 μB/atom

(3)
## HfAlCo (PBE-GGA)

Data for crystalline HfAlCo at its relaxed geometry.

Geometry as CIF:
```
data_HfAlCo
_cell_length_a 4.2199
_cell_length_b 4.2199
_cell_length_c 4.2199
_cell_angle_alpha 60.00
_cell_angle_beta 60.00
_cell_angle_gamma 60.00
_space_group_name_H-M_alt 'P 1'
_space_group_IT_number 1
loop_
_space_group_symop_operation_xyz
'x,y,z'
loop_
_atom_site_label
_atom_site_type_symbol
_atom_site_fract_x
_atom_site_fract_y
_atom_site_fract_z
_atom_site_occupancy
Hf1 Hf 0.0000 0.0000 0.0000 1
Al1 Al 0.7500 0.7500 0.7500 1
Co1 Co 0.5000 0.5000 0.5000 1
```

* symmetry: F-43m
* electronic total energy: -6.58 eV per atom
* M_tot: 0.45 μB/atom

(4)
## HfAlCo (PBE-GGA)

Data for crystalline HfAlCo at its relaxed geometry.

Geometry as CIF:
```
data_HfAlCo
_cell_length_a 6.6052
_cell_length_b 4.2151
_cell_length_c 6.6914
_cell_angle_alpha 90.00
_cell_angle_beta 90.00
_cell_angle_gamma 90.00
_space_group_name_H-M_alt 'P 1'
_space_group_IT_number 1
loop_
_space_group_symop_operation_xyz
'x,y,z'
loop_
_atom_site_label
_atom_site_type_symbol
_atom_site_fract_x
_atom_site_fract_y
_atom_site_fract_z
_atom_site_occupancy
Hf1 Hf 0.0249 0.2500 0.1913 1
Hf2 Hf 0.4751 0.7500 0.6913 1
Hf3 Hf 0.5249 0.2500 0.3087 1
Hf4 Hf 0.9751 0.7500 0.8087 1
Al1 Al 0.2002 0.2500 0.6155 1
Al2 Al 0.2998 0.7500 0.1155 1
Al3 Al 0.7002 0.2500 0.8845 1
Al4 Al 0.7998 0.7500 0.3845 1
Co1 Co 0.1553 0.7500 0.4479 1
Co2 Co 0.3447 0.2500 0.9479 1
Co3 Co 0.6553 0.7500 0.0521 1
Co4 Co 0.8447 0.2500 0.5521 1
```

* symmetry: Pnma
* electronic total energy: -7.44 eV per atom
* M_tot: 0.02 μB/atom

(5)
## HfAlCo2 (PBE-GGA)

Data for crystalline HfAlCo2 at its relaxed geometry.

Geometry as CIF:
```
data_HfAlCo2
_cell_length_a 3.0731
_cell_length_b 3.0731
_cell_length_c 5.8075
_cell_angle_alpha 90.00
_cell_angle_beta 90.00
_cell_angle_gamma 90.00
_space_group_name_H-M_alt 'P 1'
_space_group_IT_number 1
loop_
_space_group_symop_operation_xyz
'x,y,z'
loop_
_atom_site_label
_atom_site_type_symbol
_atom_site_fract_x
_atom_site_fract_y
_atom_site_fract_z
_atom_site_occupancy
Hf1 Hf 0.0000 0.0000 0.0000 1
Al1 Al 0.0000 0.0000 0.5000 1
Co1 Co 0.5000 0.5000 0.2640 1
Co2 Co 0.5000 0.5000 0.7360 1
```

* symmetry: P4/mmm
* electronic total energy: -7.45 eV per atom
* M_tot: 0.01 μB/atom

(6)
## HfAlCo2 (PBE-GGA)

Data for crystalline HfAlCo2 at its relaxed geometry.

Geometry as CIF:
```
data_HfAlCo2
_cell_length_a 4.3040
_cell_length_b 4.3040
_cell_length_c 4.3040
_cell_angle_alpha 60.00
_cell_angle_beta 60.00
_cell_angle_gamma 60.00
_space_group_name_H-M_alt 'P 1'
_space_group_IT_number 1
loop_
_space_group_symop_operation_xyz
'x,y,z'
loop_
_atom_site_label
_atom_site_type_symbol
_atom_site_fract_x
_atom_site_fract_y
_atom_site_fract_z
_atom_site_occupancy
Hf1 Hf 0.0000 0.0000 0.0000 1
Al1 Al 0.7500 0.7500 0.7500 1
Co1 Co 0.2500 0.2500 0.2500 1
Co2 Co 0.5000 0.5000 0.5000 1
```

* symmetry: F-43m
* electronic total energy: -7.05 eV per atom
* M_tot: 0.62 μB/atom

(7)
## HfAlCo2 (PBE-GGA)

Data for crystalline HfAlCo2 at its relaxed geometry.

Geometry as CIF:
```
data_HfAlCo2
_cell_length_a 4.2011
_cell_length_b 4.2011
_cell_length_c 3.0812
_cell_angle_alpha 90.00
_cell_angle_beta 90.00
_cell_angle_gamma 90.00
_space_group_name_H-M_alt 'P 1'
_space_group_IT_number 1
loop_
_space_group_symop_operation_xyz
'x,y,z'
loop_
_atom_site_label
_atom_site_type_symbol
_atom_site_fract_x
_atom_site_fract_y
_atom_site_fract_z
_atom_site_occupancy
Hf1 Hf 0.0000 0.0000 0.0000 1
Al1 Al 0.5000 0.5000 0.0000 1
Co1 Co 0.0000 0.5000 0.5000 1
Co2 Co 0.5000 0.0000 0.5000 1
```

* symmetry: P4/mmm
* electronic total energy: -7.47 eV per atom
* M_tot: 0.17 μB/atom

(8)
## Hf2AlCo (PBE-GGA)

Data for crystalline Hf2AlCo at its relaxed geometry.

Geometry as CIF:
```
data_Hf2AlCo
_cell_length_a 4.5877
_cell_length_b 4.5877
_cell_length_c 4.5877
_cell_angle_alpha 60.00
_cell_angle_beta 60.00
_cell_angle_gamma 60.00
_space_group_name_H-M_alt 'P 1'
_space_group_IT_number 1
loop_
_space_group_symop_operation_xyz
'x,y,z'
loop_
_atom_site_label
_atom_site_type_symbol
_atom_site_fract_x
_atom_site_fract_y
_atom_site_fract_z
_atom_site_occupancy
Hf1 Hf 0.0000 0.0000 0.0000 1
Hf2 Hf 0.2500 0.2500 0.2500 1
Al1 Al 0.5000 0.5000 0.5000 1
Co1 Co 0.7500 0.7500 0.7500 1
```

* symmetry: F-43m
* electronic total energy: -7.64 eV per atom
* M_tot: 0.50 μB/atom

(9)
## HfAlCo (PBE-GGA)

Data for crystalline HfAlCo at its relaxed geometry.

Geometry as CIF:
```
data_HfAlCo
_cell_length_a 6.1889
_cell_length_b 4.0529
_cell_length_c 7.3789
_cell_angle_alpha 90.00
_cell_angle_beta 90.00
_cell_angle_gamma 90.00
_space_group_name_H-M_alt 'P 1'
_space_group_IT_number 1
loop_
_space_group_symop_operation_xyz
'x,y,z'
loop_
_atom_site_label
_atom_site_type_symbol
_atom_site_fract_x
_atom_site_fract_y
_atom_site_fract_z
_atom_site_occupancy
Hf1 Hf 0.0300 0.2500 0.1750 1
Hf2 Hf 0.4700 0.7500 0.6750 1
Hf3 Hf 0.5300 0.2500 0.3250 1
Hf4 Hf 0.9700 0.7500 0.8250 1
Al1 Al 0.1407 0.2500 0.5587 1
Al2 Al 0.3593 0.7500 0.0587 1
Al3 Al 0.6407 0.2500 0.9413 1
Al4 Al 0.8593 0.7500 0.4413 1
Co1 Co 0.2474 0.2500 0.8797 1
Co2 Co 0.2526 0.7500 0.3797 1
Co3 Co 0.7474 0.2500 0.6203 1
Co4 Co 0.7526 0.7500 0.1203 1
```

* symmetry: Pnma
* electronic total energy: -7.50 eV per atom
* M_tot: 0.00 μB/atom

(10)
## HfAlCo2 (PBE-GGA)

Data for crystalline HfAlCo2 at its relaxed geometry.

Geometry as CIF:
```
data_HfAlCo2
_cell_length_a 4.2089
_cell_length_b 4.2089
_cell_length_c 3.0868
_cell_angle_alpha 90.00
_cell_angle_beta 90.00
_cell_angle_gamma 90.00
_space_group_name_H-M_alt 'P 1'
_space_group_IT_number 1
loop_
_space_group_symop_operation_xyz
'x,y,z'
loop_
_atom_site_label
_atom_site_type_symbol
_atom_site_fract_x
_atom_site_fract_y
_atom_site_fract_z
_atom_site_occupancy
Hf1 Hf 0.0000 0.0000 0.0000 1
Al1 Al 0.5000 0.5000 0.0000 1
Co1 Co 0.0000 0.5000 0.5000 1
Co2 Co 0.5000 0.0000 0.5000 1
```

* symmetry: P4/mmm
* electronic total energy: -7.47 eV per atom
* M_tot: 0.18 μB/atom

(11)
## Hf2MgAlCo2Ir2 (PBE-GGA)

Data for crystalline Hf2MgAlCo2Ir2 at its relaxed geometry.

Geometry as CIF:
```
data_Hf2MgAlCo2Ir2
_cell_length_a 4.4103
_cell_length_b 4.4103
_cell_length_c 6.2223
_cell_angle_alpha 90.00
_cell_angle_beta 90.00
_cell_angle_gamma 90.00
_space_group_name_H-M_alt 'P 1'
_space_group_IT_number 1
loop_
_space_group_symop_operation_xyz
'x,y,z'
loop_
_atom_site_label
_atom_site_type_symbol
_atom_site_fract_x
_atom_site_fract_y
_atom_site_fract_z
_atom_site_occupancy
Hf1 Hf 0.0000 0.0000 0.0000 1
Hf2 Hf 0.5000 0.5000 0.5000 1
Mg1 Mg 0.0000 0.0000 0.5000 1
Al1 Al 0.5000 0.5000 0.0000 1
Co1 Co 0.0000 0.5000 0.2433 1
Co2 Co 0.5000 0.0000 0.7567 1
Ir1 Ir 0.0000 0.5000 0.7565 1
Ir2 Ir 0.5000 0.0000 0.2435 1
```

* symmetry: P-4m2
* electronic total energy: -7.82 eV per atom
* M_tot: 0.12 μB/atom

(12)
## Hf2Al2CoNiIr2 (PBE-GGA)

Data for crystalline Hf2Al2CoNiIr2 at its relaxed geometry.

Geometry as CIF:
```
data_Hf2Al2CoNiIr2
_cell_length_a 4.3944
_cell_length_b 4.3944
_cell_length_c 6.2188
_cell_angle_alpha 90.00
_cell_angle_beta 90.00
_cell_angle_gamma 90.00
_space_group_name_H-M_alt 'P 1'
_space_group_IT_number 1
loop_
_space_group_symop_operation_xyz
'x,y,z'
loop_
_atom_site_label
_atom_site_type_symbol
_atom_site_fract_x
_atom_site_fract_y
_atom_site_fract_z
_atom_site_occupancy
Hf1 Hf 0.0000 0.5000 0.2498 1
Hf2 Hf 0.5000 0.0000 0.7502 1
Al1 Al 0.0000 0.5000 0.7500 1
Al2 Al 0.5000 0.0000 0.2500 1
Co1 Co 0.0000 0.0000 0.5000 1
Ni1 Ni 0.5000 0.5000 0.0000 1
Ir1 Ir 0.0000 0.0000 0.0000 1
Ir2 Ir 0.5000 0.5000 0.5000 1
```

* symmetry: P-4m2
* electronic total energy: -8.03 eV per atom
* M_tot: 0.14 μB/atom

> Which of these has the lowest electronic total energy?

Hf2Al2CoNiIr2